No. 1
The following is a DFT calculation (PBE-GGA) of a relaxed Tb3Ho4ErSe8 crystal.

Unit cell a=8.1397 b=8.1397 c=8.1397 alpha=59.97 beta=59.97 gamma=59.97
Sites, in units of the cell vectors:
Tb 0.0000 0.5000 0.5000
Tb 0.5000 0.0000 0.5000
Tb 0.5000 0.5000 0.0000
Ho 0.0000 0.0000 0.5000
Ho 0.0000 0.5000 0.0000
Ho 0.5000 0.0000 0.0000
Ho 0.5000 0.5000 0.5000
Er 0.0000 0.0000 0.0000
Se 0.2465 0.7508 0.7508
Se 0.2486 0.2486 0.2486
Se 0.2492 0.2492 0.7535
Se 0.2492 0.7535 0.2492
Se 0.7508 0.2465 0.7508
Se 0.7508 0.7508 0.2465
Se 0.7514 0.7514 0.7514
Se 0.7535 0.2492 0.2492

Computed properties:
Fermi-level density of states (states/eV per atom): 0.653
Electronic total energy (eV/atom): -5.77

---

No. 2
The following is a DFT calculation (PBE-GGA) of a relaxed Tb3Ho3ErSe8 crystal.

Unit cell a=8.1244 b=8.1244 c=8.1244 alpha=59.93 beta=59.93 gamma=59.93
Sites, in units of the cell vectors:
Tb 0.0000 0.5000 0.5000
Tb 0.5000 0.0000 0.5000
Tb 0.5000 0.5000 0.0000
Ho 0.0000 0.0000 0.5000
Ho 0.0000 0.5000 0.0000
Ho 0.5000 0.0000 0.0000
Er 0.5000 0.5000 0.5000
Se 0.2460 0.7517 0.7517
Se 0.2483 0.2483 0.7540
Se 0.2483 0.7540 0.2483
Se 0.2488 0.2488 0.2488
Se 0.7512 0.7512 0.7512
Se 0.7517 0.2460 0.7517
Se 0.7517 0.7517 0.2460
Se 0.7540 0.2483 0.2483

Computed properties:
Fermi-level density of states (states/eV per atom): 0.415
Electronic total energy (eV/atom): -5.83

---

No. 3
The following is a DFT calculation (PBE-GGA) of a relaxed HoErTeSe crystal.

Unit cell a=7.6114 b=7.6114 c=7.6114 alpha=31.00 beta=31.00 gamma=31.00
Sites, in units of the cell vectors:
Ho 0.0000 0.0000 0.0000
Er 0.8128 0.8128 0.8128
Te 0.2385 0.2385 0.2385
Se 0.4089 0.4089 0.4089

Computed properties:
Fermi-level density of states (states/eV per atom): 0.082
Electronic total energy (eV/atom): -5.46

---

No. 4
The following is a DFT calculation (PBE-GGA) of a relaxed HoErTeSe2 crystal.

Unit cell a=7.6876 b=7.6876 c=7.6876 alpha=145.04 beta=145.04 gamma=50.27
Sites, in units of the cell vectors:
Ho 0.0000 0.0000 0.0000
Er 0.7194 0.7194 0.0000
Te 0.3605 0.3605 0.0000
Se 0.1106 0.6106 0.5000
Se 0.6106 0.1106 0.5000

Computed properties:
Fermi-level density of states (states/eV per atom): 0.230
Electronic total energy (eV/atom): -5.14

---

No. 5
The following is a DFT calculation (PBE-GGA) of a relaxed HoEr3Th4Se8 crystal.

Unit cell a=8.4972 b=8.4972 c=8.4972 alpha=56.28 beta=56.28 gamma=56.28
Sites, in units of the cell vectors:
Ho 0.0000 0.0000 0.0000
Er 0.0000 0.5000 0.5000
Er 0.5000 0.0000 0.5000
Er 0.5000 0.5000 0.0000
Th 0.0000 0.0000 0.5000
Th 0.0000 0.5000 0.0000
Th 0.5000 0.0000 0.0000
Th 0.5000 0.5000 0.5000
Se 0.2439 0.2439 0.7428
Se 0.2439 0.7428 0.2439
Se 0.2566 0.2566 0.2566
Se 0.2572 0.7561 0.7561
Se 0.7428 0.2439 0.2439
Se 0.7434 0.7434 0.7434
Se 0.7561 0.2572 0.7561
Se 0.7561 0.7561 0.2572

Computed properties:
Fermi-level density of states (states/eV per atom): 0.414
Electronic total energy (eV/atom): -6.36

---

No. 6
The following is a DFT calculation (PBE-GGA) of a relaxed HoErTh2Se4 crystal.

Unit cell a=6.9110 b=4.0213 c=7.5247 alpha=90.00 beta=108.13 gamma=90.00
Sites, in units of the cell vectors:
Ho 0.0000 0.0000 0.0000
Er 0.5000 0.5000 0.0000
Th 0.0000 0.5000 0.5000
Th 0.5000 0.0000 0.5000
Se 0.2447 0.5000 0.2310
Se 0.2571 0.0000 0.7695
Se 0.7429 0.0000 0.2305
Se 0.7553 0.5000 0.7690

Computed properties:
Fermi-level density of states (states/eV per atom): 0.703
Electronic total energy (eV/atom): -6.36

---

No. 7
The following is a DFT calculation (PBE-GGA) of a relaxed HoEr2ThSe4 crystal.

Unit cell a=7.1009 b=4.0316 c=7.1284 alpha=90.00 beta=108.85 gamma=90.00
Sites, in units of the cell vectors:
Ho 0.0000 0.0000 0.0000
Er 0.0000 0.5000 0.5000
Er 0.5000 0.0000 0.5000
Th 0.5000 0.5000 0.0000
Se 0.2384 0.0000 0.7370
Se 0.2454 0.5000 0.2573
Se 0.7546 0.5000 0.7427
Se 0.7616 0.0000 0.2630

Computed properties:
Fermi-level density of states (states/eV per atom): 0.522
Electronic total energy (eV/atom): -6.03

---

No. 8
The following is a DFT calculation (PBE-GGA) of a relaxed HoEr2Th3Se6 crystal.

Unit cell a=6.8835 b=6.8835 c=7.5887 alpha=98.69 beta=98.69 gamma=119.77
Sites, in units of the cell vectors:
Ho 0.0000 0.0000 0.0000
Er 0.3334 0.6666 0.0000
Er 0.6666 0.3334 0.0000
Th 0.1662 0.8338 0.5000
Th 0.5000 0.5000 0.5000
Th 0.8338 0.1662 0.5000
Se 0.0768 0.4113 0.2303
Se 0.2577 0.2577 0.7701
Se 0.4113 0.0768 0.2303
Se 0.5887 0.9232 0.7697
Se 0.7423 0.7423 0.2299
Se 0.9232 0.5887 0.7697

Computed properties:
Fermi-level density of states (states/eV per atom): 0.664
Electronic total energy (eV/atom): -6.36

---

No. 9
The following is a DFT calculation (PBE-GGA) of a relaxed HoEr3Tl3Se8 crystal.

Unit cell a=8.2624 b=8.2624 c=9.0250 alpha=117.24 beta=117.24 gamma=59.99
Sites, in units of the cell vectors:
Ho 0.0000 0.0000 0.0000
Er 0.0000 0.5000 0.0000
Er 0.5000 0.0000 0.0000
Er 0.5000 0.5000 0.0000
Tl 0.0000 0.0000 0.5000
Tl 0.0000 0.5000 0.5000
Tl 0.5000 0.0000 0.5000
Se 0.2359 0.2359 0.2053
Se 0.2361 0.7333 0.2046
Se 0.2643 0.2643 0.7943
Se 0.2667 0.7639 0.7954
Se 0.7333 0.2361 0.2046
Se 0.7357 0.7357 0.2057
Se 0.7639 0.2667 0.7954
Se 0.7641 0.7641 0.7947

Computed properties:
Fermi-level density of states (states/eV per atom): 0.472
Electronic total energy (eV/atom): -4.94

---

No. 10
The following is a DFT calculation (PBE-GGA) of a relaxed HoEr2Tl3Se6 crystal.

Unit cell a=7.2023 b=7.2023 c=8.1398 alpha=98.48 beta=98.48 gamma=120.01
Sites, in units of the cell vectors:
Ho 0.0000 0.0000 0.0000
Er 0.3333 0.6667 0.0000
Er 0.6667 0.3333 0.0000
Tl 0.1666 0.8334 0.5000
Tl 0.5000 0.5000 0.5000
Tl 0.8334 0.1666 0.5000
Se 0.0676 0.4019 0.2027
Se 0.2668 0.2668 0.7975
Se 0.4019 0.0676 0.2027
Se 0.5981 0.9324 0.7973
Se 0.7332 0.7332 0.2025
Se 0.9324 0.5981 0.7973

Computed properties:
Electronic total energy (eV/atom): -4.86

---

No. 11
The following is a DFT calculation (PBE-GGA) of a relaxed HoErTlSe crystal.

Unit cell a=3.8048 b=3.8048 c=8.3937 alpha=90.00 beta=90.00 gamma=120.00
Sites, in units of the cell vectors:
Ho 0.0000 0.0000 0.0000
Er 0.6667 0.3333 0.4337
Tl 0.3333 0.6667 0.7159
Se 0.3333 0.6667 0.2178

Computed properties:
Fermi-level density of states (states/eV per atom): 0.607
Electronic total energy (eV/atom): -4.71

---

No. 12
The following is a DFT calculation (PBE-GGA) of a relaxed HoEr3Tl4Se8 crystal.

Unit cell a=9.1405 b=9.1405 c=9.1405 alpha=54.11 beta=54.11 gamma=54.11
Sites, in units of the cell vectors:
Ho 0.0000 0.0000 0.0000
Er 0.0000 0.5000 0.5000
Er 0.5000 0.0000 0.5000
Er 0.5000 0.5000 0.0000
Tl 0.0000 0.0000 0.5000
Tl 0.0000 0.5000 0.0000
Tl 0.5000 0.0000 0.0000
Tl 0.5000 0.5000 0.5000
Se 0.2346 0.2346 0.7333
Se 0.2346 0.7333 0.2346
Se 0.2660 0.2660 0.2660
Se 0.2667 0.7654 0.7654
Se 0.7333 0.2346 0.2346
Se 0.7340 0.7340 0.7340
Se 0.7654 0.2667 0.7654
Se 0.7654 0.7654 0.2667

Computed properties:
Electronic total energy (eV/atom): -4.86

---

No. 13
The following is a DFT calculation (PBE-GGA) of a relaxed Ho2ErTmSe5 crystal.

Unit cell a=5.0948 b=5.0948 c=10.6098 alpha=90.00 beta=90.00 gamma=90.00
Sites, in units of the cell vectors:
Ho 0.0000 0.0000 0.1618
Ho 0.0000 0.0000 0.8382
Er 0.5000 0.5000 0.5000
Tm 0.5000 0.5000 0.0000
Se 0.0000 0.0000 0.5000
Se 0.0000 0.5000 0.0000
Se 0.5000 0.0000 0.0000
Se 0.5000 0.5000 0.2534
Se 0.5000 0.5000 0.7466

Computed properties:
Fermi-level density of states (states/eV per atom): 0.606
Electronic total energy (eV/atom): -5.06

---

No. 14
The following is a DFT calculation (PBE-GGA) of a relaxed HoEr3Tm2Se6 crystal.

Unit cell a=9.0159 b=9.0159 c=8.0987 alpha=103.27 beta=103.27 gamma=25.77
Sites, in units of the cell vectors:
Ho 0.0000 0.0000 0.0000
Er 0.0000 0.0000 0.5000
Er 0.3346 0.3346 0.1665
Er 0.6654 0.6654 0.8335
Tm 0.3341 0.3341 0.6682
Tm 0.6659 0.6659 0.3318
Se 0.1677 0.1677 0.0851
Se 0.1675 0.1675 0.5821
Se 0.4993 0.4993 0.7482
Se 0.5007 0.5007 0.2518
Se 0.8325 0.8325 0.4179
Se 0.8323 0.8323 0.9149

Computed properties:
Fermi-level density of states (states/eV per atom): 0.460
Electronic total energy (eV/atom): -5.70

---

No. 15
The following is a DFT calculation (PBE-GGA) of a relaxed Ho3Er3TmSe8 crystal.

Unit cell a=8.0618 b=8.0618 c=8.0618 alpha=60.00 beta=60.00 gamma=60.00
Sites, in units of the cell vectors:
Ho 0.0000 0.5000 0.5000
Ho 0.5000 0.0000 0.5000
Ho 0.5000 0.5000 0.0000
Er 0.0000 0.0000 0.5000
Er 0.0000 0.5000 0.0000
Er 0.5000 0.0000 0.0000
Tm 0.5000 0.5000 0.5000
Se 0.2463 0.7522 0.7522
Se 0.2478 0.2478 0.7537
Se 0.2478 0.7537 0.2478
Se 0.2495 0.2495 0.2495
Se 0.7505 0.7505 0.7505
Se 0.7522 0.2463 0.7522
Se 0.7522 0.7522 0.2463
Se 0.7537 0.2478 0.2478

Computed properties:
Fermi-level density of states (states/eV per atom): 0.399
Electronic total energy (eV/atom): -5.79

---

No. 16
The following is a DFT calculation (PBE-GGA) of a relaxed Ho2ErTmSe6 crystal.

Unit cell a=7.6538 b=7.6538 c=7.6538 alpha=55.63 beta=55.63 gamma=55.63
Sites, in units of the cell vectors:
Ho 0.0000 0.0000 0.0000
Ho 0.4996 0.4996 0.4996
Er 0.1949 0.1949 0.1949
Tm 0.6943 0.6943 0.6943
Se 0.0936 0.4066 0.7935
Se 0.2939 0.9046 0.5956
Se 0.4066 0.7935 0.0936
Se 0.5956 0.2939 0.9046
Se 0.7935 0.0936 0.4066
Se 0.9046 0.5956 0.2939

Computed properties:
Fermi-level density of states (states/eV per atom): 0.000
Electronic total energy (eV/atom): -5.76

---

No. 17
The following is a DFT calculation (PBE-GGA) of a relaxed Ho3Er2TmSe6 crystal.

Unit cell a=9.0403 b=9.0403 c=8.1127 alpha=103.36 beta=103.36 gamma=25.78
Sites, in units of the cell vectors:
Ho 0.0000 0.0000 0.0000
Ho 0.3327 0.3327 0.6670
Ho 0.6673 0.6673 0.3330
Er 0.3328 0.3328 0.1661
Er 0.6672 0.6672 0.8339
Tm 0.0000 0.0000 0.5000
Se 0.1655 0.1655 0.5838
Se 0.1668 0.1668 0.0820
Se 0.4996 0.4996 0.2526
Se 0.5004 0.5004 0.7474
Se 0.8332 0.8332 0.9180
Se 0.8345 0.8345 0.4162

Computed properties:
Fermi-level density of states (states/eV per atom): 0.459
Electronic total energy (eV/atom): -5.72

---

No. 18
The following is a DFT calculation (PBE-GGA) of a relaxed Ho2Er3TmSe6 crystal.

Unit cell a=9.0286 b=9.0286 c=8.1072 alpha=103.23 beta=103.23 gamma=25.78
Sites, in units of the cell vectors:
Ho 0.1675 0.1675 0.3343
Ho 0.8325 0.8325 0.6657
Er 0.1679 0.1679 0.8328
Er 0.5000 0.5000 0.5000
Er 0.8321 0.8321 0.1672
Tm 0.5000 0.5000 0.0000
Se 0.0006 0.0006 0.7519
Se 0.3342 0.3342 0.4160
Se 0.3344 0.3344 0.9188
Se 0.6656 0.6656 0.0812
Se 0.6658 0.6658 0.5840
Se 0.9994 0.9994 0.2481

Computed properties:
Fermi-level density of states (states/eV per atom): 0.461
Electronic total energy (eV/atom): -5.71

---

No. 19
The following is a DFT calculation (PBE-GGA) of a relaxed HoEr2TmSe6 crystal.

Unit cell a=7.6461 b=7.6461 c=7.6461 alpha=55.62 beta=55.62 gamma=55.62
Sites, in units of the cell vectors:
Ho 0.0000 0.0000 0.0000
Er 0.3047 0.3047 0.3047
Er 0.8053 0.8053 0.8053
Tm 0.4991 0.4991 0.4991
Se 0.0967 0.7068 0.4039
Se 0.2102 0.5956 0.9006
Se 0.4039 0.0967 0.7068
Se 0.5956 0.9006 0.2102
Se 0.7068 0.4039 0.0967
Se 0.9006 0.2102 0.5956

Computed properties:
Fermi-level density of states (states/eV per atom): 0.000
Electronic total energy (eV/atom): -5.75

---

No. 20
The following is a DFT calculation (PBE-GGA) of a relaxed Y2Ho3ErSe6 crystal.

Unit cell a=9.0788 b=9.0788 c=8.1569 alpha=103.10 beta=103.10 gamma=25.79
Sites, in units of the cell vectors:
Y 0.1675 0.1675 0.3343
Y 0.8325 0.8325 0.6657
Ho 0.1680 0.1680 0.8330
Ho 0.5000 0.5000 0.5000
Ho 0.8320 0.8320 0.1670
Er 0.5000 0.5000 0.0000
Se 0.0009 0.0009 0.7519
Se 0.3344 0.3344 0.4153
Se 0.3345 0.3345 0.9196
Se 0.6655 0.6655 0.0804
Se 0.6656 0.6656 0.5847
Se 0.9991 0.9991 0.2481

Computed properties:
Fermi-level density of states (states/eV per atom): 0.472
Electronic total energy (eV/atom): -6.08